Record 1
# ZnCo2CuBr

An optimized crystal structure of ZnCo2CuBr (PBE, the Alexandria database).

Results
As for the electronic total energy: -3.10 eV per atom. The value obtained for the polymorph energy (0 for the lowest one) is 207 meV/atom. The symmetry is P4/mmm, No. 123. As for the uncorrected formation energy: 1.1522 eV/atom. The value obtained for the mass density is 5.44 Mg/m³.

Cell lengths 4.590, 4.590, 4.733 Å; angles 90.00, 90.00, 90.00 degrees
Element x y z (fractional)
1 Zn 0.000 0.000 0.000
2 Co 0.000 0.500 0.500
3 Co 0.500 0.000 0.500
4 Cu 0.500 0.500 0.500
5 Br 0.500 0.500 0.000

=====

Record 2
# ZnCo2CuBr

An optimized crystal structure of ZnCo2CuBr (PBE, the Alexandria database).

Results
As for the electronic total energy: -3.31 eV per atom. The value obtained for the polymorph energy (0 for the lowest one) is 0 meV/atom. The symmetry is P4/mmm, No. 123. As for the uncorrected formation energy: 0.9455 eV/atom. The value obtained for the mass density is 5.70 Mg/m³.

Cell lengths 4.566, 4.566, 4.562 Å; angles 90.00, 90.00, 90.00 degrees
Element x y z (fractional)
1 Zn 0.000 0.000 0.000
2 Co 0.000 0.500 0.500
3 Co 0.500 0.000 0.500
4 Cu 0.000 0.000 0.500
5 Br 0.500 0.500 0.000

=====

> Which of these has the highest electronic total energy?

number 1

=====

> Which value of electronic total energy does entry 1 give?

-3.10 eV per atom